Compound: InNi2AsO6
Source: Alexandria
Functional: PBE+U
Structure: relaxed

a = 4.9722 Å, b = 5.1840 Å, c = 5.1840 Å
α = 90.00°, β = 90.00°, γ = 90.00°
Last column: magnetic moment on the atom in μB.
Atoms (fractional coordinates):
1 O 0.2789 0.0000 0.0000  0.00
2 O 0.7507 0.7637 0.2363  0.08
3 O 0.7507 0.7637 0.7637  0.08
4 O 0.7507 0.2363 0.7637  0.08
5 O 0.7507 0.2363 0.2363  0.08
6 O 0.1411 0.5000 0.5000  0.00
7 In 0.5387 0.5000 0.5000  0.00
8 Ni 0.9341 0.0000 0.5000  1.77
9 Ni 0.9341 0.5000 0.0000  1.77
10 As 0.6171 0.0000 0.0000  0.00

Output
Magnetic moment (μB per formula unit): 3.92
V (Å³/f.u.): 134
SG: P4mm (99)
Final energy (eV/atom): -5.104